Nd2CrSbO8 | PBE+U | optimized geometry

Calculated values
theoretical density = 6.05 g cm⁻³
magnetization = 0.97 μB/f.u.
space group = No. 2
total energy = -85.70 eV for the cell shown

```
Nd2CrSbO8
1.0
4.9254 -0.1356 -0.0128
-0.1420 4.9177 -0.0172
-0.0102 -0.0059 6.6901
Nd Cr Sb O
2 1 1 8
Cartesian
2.0898 2.0869 4.9846
2.6834 2.6893 1.6754
-0.0051 -0.0029 3.3450
0.0000 0.0000 0.0000
0.5393 3.8427 1.6682
3.4080 3.4037 6.3930
3.8408 0.5401 1.6708
4.2339 0.9335 4.9918
1.3652 1.3725 0.2671
0.9324 4.2361 4.9892
3.5669 3.5599 3.6271
1.2063 1.2163 3.0329
```